The following is a DFT calculation (GGA-PBE) of NaLaPu2Se4 after structural relaxation.

```
8
Lattice="4.2087 0.0000 0.0000 0.0000 6.9084 2.1578 0.0000 4.8024 9.1408" Properties=species:S:1:pos:R:3 pbc="T T T"
Na 0.0000 5.8554 5.6493
La 2.1044 3.4542 1.0789
Pu 0.0000 4.8024 9.1408
Pu 2.1044 2.4012 4.5704
Se 0.0000 1.7742 2.5204
Se 4.2088 9.9367 8.7783
Se 2.1044 5.2660 3.4850
Se 2.1044 6.4449 7.8137
```

Results
- E_form (uncorrected) (meV/atom) = -1476.0
- total magnetization (μB/cell) = 0.1
- D(E_F) (states/eV/atom) = 3.62



The following is a DFT calculation (GGA-PBE) of Re3Se5 after structural relaxation.

```
16
Lattice="-7.2025 -2.7925 -1.2008 5.2914 -0.2324 -5.7499 1.6265 -4.9244 1.6959" Properties=species:S:1:pos:R:3 pbc="T T T"
Re -3.7533 -2.8440 -0.2696
Re -1.8226 -4.8729 0.7647
Re 3.4628 -1.3654 -2.8971
Re -0.4006 -2.5089 -2.5122
Re 0.1161 -5.4404 -2.7427
Re 3.4551 -3.7915 -1.1570
Se 1.1268 -1.0858 -4.2336
Se -2.2246 -4.4013 -1.8693
Se -3.0378 -1.9391 -2.7172
Se 1.9401 -3.5480 -3.3856
Se -1.4903 -1.9665 0.1077
Se -4.0857 -5.7503 0.3873
Se 1.8002 -1.2923 -1.0904
Se -1.0011 -3.4594 -4.6962
Se 0.7166 -4.4900 -0.5587
Se 5.1177 -3.8645 -2.9637
```

Results
- E_form (uncorrected) (meV/atom) = 641.0
- total magnetization (μB/cell) = 0.0
- D(E_F) (states/eV/atom) = 0.88



The following is a DFT calculation (GGA-PBE) of Ca3Pm2PrSe6 after structural relaxation.

```
12
Lattice="-3.4036 -1.9757 -1.4042 3.3456 -7.4303 2.3450 -3.0143 3.8543 8.1004" Properties=species:S:1:pos:R:3 pbc="T T T"
Ca -0.0290 -4.7030 0.4704
Ca -4.2932 -0.3160 4.6338
Ca 1.2208 -5.2357 4.4074
Pm -2.6179 -4.0469 5.8224
Pm -0.4545 -1.5049 3.2189
Pr -1.7018 -0.9879 -0.7021
Se -0.0442 -4.9313 7.0454
Se -1.3200 -4.3724 3.1346
Se -3.0281 -0.6205 1.9958
Se -5.5483 -0.0372 7.2838
Se 2.4760 -5.5145 1.7574
Se -1.7523 -1.1793 5.9066
```

Results
- E_form (uncorrected) (meV/atom) = -1906.8
- total magnetization (μB/cell) = 0.0
- D(E_F) (states/eV/atom) = 0.35



The following is a DFT calculation (GGA-PBE) of SbRu2Pb after structural relaxation.

```
4
Lattice="10.7207 0.0170 0.0100 10.2771 3.0522 0.0100 10.2771 1.5022 2.6569" Properties=species:S:1:pos:R:3 pbc="T T T"
Pb 8.4220 1.2310 0.7209
Ru 0.4070 0.0595 0.0348
Ru 23.2103 3.3926 1.9866
Sb 14.8731 2.1740 1.2730
```

Results
- E_form (uncorrected) (meV/atom) = 458.6
- total magnetization (μB/cell) = 0.0
- D(E_F) (states/eV/atom) = 0.94



The following is a DFT calculation (GGA-PBE) of LiMnCo3 after structural relaxation.

```
5
Lattice="-3.4949 -0.1496 -1.4099 0.1574 -3.7683 0.0095 -1.4091 -0.0501 3.4981" Properties=species:S:1:pos:R:3 pbc="T T T"
Mn -2.3733 -1.9840 1.0488
Co 0.0787 -1.8841 0.0047
Co -0.7045 -0.0250 1.7491
Co -1.7475 -0.0748 -0.7050
Li 0.0000 0.0000 0.0000
```

Results
- energy relative to the elements (eV/atom) = 1.1783
- total magnetization (μB/cell) = 0.0
- D(E_F) (states/eV/atom) = 2.88



The following is a DFT calculation (GGA-PBE) of AuBr2Cl after structural relaxation.

```
4
Lattice="-2.3836 -1.1444 -1.6769 1.5005 -2.7351 -0.2664 -5.0756 -3.7357 9.7641" Properties=species:S:1:pos:R:3 pbc="T T T"
Au -4.1772 -4.6893 6.2148
Br -4.6600 -3.4298 8.9647
Br -1.7452 -2.8992 1.5362
Cl -2.9896 -2.2004 5.7512
```

Results
- E_form (uncorrected) (meV/atom) = 365.1
- total magnetization (μB/cell) = 0.3
- D(E_F) (states/eV/atom) = 1.34



The following is a DFT calculation (GGA-PBE) of Tl2PdI2Cl2 after structural relaxation.

```
7
Lattice="-3.7369 -0.9847 -1.8533 1.8491 -1.8694 -7.6909 0.9809 -7.8602 -2.7575" Properties=species:S:1:pos:R:3 pbc="T T T"
Tl 0.3773 -3.1873 -4.0231
Tl -1.2842 -7.5270 -8.2787
Pd 0.0000 0.0000 0.0000
I -0.8023 -6.7403 -4.7126
I -0.1046 -3.9740 -7.5891
Cl 1.5999 -8.5005 -8.6211
Cl -2.5068 -2.2138 -3.6807
```

Results
- E_form (uncorrected) (meV/atom) = -546.4
- total magnetization (μB/cell) = 1.6
- D(E_F) (states/eV/atom) = 0.55



The following is a DFT calculation (GGA-PBE) of Ca3Si2BiPd9 after structural relaxation.

```
15
Lattice="-4.8568 -2.6903 3.0708 4.1022 -3.6075 -3.2270 5.3455 -0.8320 7.7254" Properties=species:S:1:pos:R:3 pbc="T T T"
Ca 4.9676 -3.9013 4.4389
Ca 0.0000 0.0000 0.0000
Ca -0.3767 -3.2285 3.1303
Si 1.9728 -3.4351 0.1107
Si 2.6181 -3.6947 7.4585
Bi 2.6727 -0.4160 3.8627
Pd 0.3956 -3.4373 7.8190
Pd 2.6801 -5.4463 6.0219
Pd 3.1002 -1.9392 6.1089
Pd 1.4907 -5.1906 1.4603
Pd 1.9109 -1.6836 1.5473
Pd 4.1953 -3.6925 -0.2498
Pd -2.4284 -1.3451 1.5354
Pd 2.0511 -1.8037 -1.6135
Pd -0.3773 -3.1489 -0.0781
```

Results
- E_form (uncorrected) (meV/atom) = -546.6
- total magnetization (μB/cell) = 0.0
- D(E_F) (states/eV/atom) = 0.42



The following is a DFT calculation (GGA-PBE) of RbCa3Os after structural relaxation.

```
5
Lattice="5.3558 0.0000 0.0000 0.0000 5.3558 0.0000 0.0000 0.0000 5.3558" Properties=species:S:1:pos:R:3 pbc="T T T"
Ca 0.0000 2.6779 0.0000
Ca 0.0000 0.0000 2.6779
Ca 2.6779 0.0000 0.0000
Os 2.6779 2.6779 2.6779
Rb 0.0000 0.0000 0.0000
```

Results
- energy relative to the elements (eV/atom) = 2.0388
- total magnetization (μB/cell) = 0.0
- D(E_F) (states/eV/atom) = 1.79



The following is a DFT calculation (GGA-PBE) of Li2ScInCl6 after structural relaxation.

```
10
Lattice="6.4466 -0.0002 0.0027 3.2244 5.5824 -0.0001 3.2222 1.8629 7.5638" Properties=species:S:1:pos:R:3 pbc="T T T"
Li 6.4460 3.7203 0.5072
Li 9.6730 5.5833 0.2773
Sc 3.2234 1.8610 0.3902
In 9.6713 5.5845 4.1732
Cl 5.3014 1.8502 1.7934
Cl 5.3984 5.6480 1.7916
Cl 8.6392 3.6659 1.7946
Cl 7.4947 5.5187 6.5524
Cl 7.4766 1.9183 6.5534
Cl 4.3672 3.7344 6.5515
```

Results
- E_form (uncorrected) (meV/atom) = -1745.0
- total magnetization (μB/cell) = 0.0
- D(E_F) (states/eV/atom) = 0.00



The following is a DFT calculation (GGA-PBE) of Sr4FeSe after structural relaxation.

```
6
Lattice="-5.1747 -4.4738 1.5414 -6.6677 1.7988 -1.2145 -3.5897 -3.1186 -5.1534" Properties=species:S:1:pos:R:3 pbc="T T T"
Sr -8.3737 -4.4078 -1.0408
Sr -7.5821 -3.7309 -4.3844
Sr -9.1193 -1.2750 -2.4172
Sr -5.7892 -2.1734 -1.8106
Fe -11.5741 -4.3452 -3.6199
Se 0.0000 0.0000 0.0000
```

Results
- E_form (uncorrected) (meV/atom) = 653.8
- total magnetization (μB/cell) = 1.9
- D(E_F) (states/eV/atom) = 1.77



The following is a DFT calculation (GGA-PBE) of SrPt2PbS after structural relaxation.

```
5
Lattice="-1.5927 -4.0870 2.6303 2.5083 -3.9218 -4.5750 4.4451 -0.1056 2.5276" Properties=species:S:1:pos:R:3 pbc="T T T"
Pb 1.2542 -1.9609 -2.2875
Sr 0.0000 0.0000 0.0000
S 2.6803 -4.0572 0.2914
Pt 2.2226 -0.0528 1.2638
Pt -0.7964 -2.0435 1.3151
```

Results
- E_form (uncorrected) (meV/atom) = 1307.9
- total magnetization (μB/cell) = 0.0
- D(E_F) (states/eV/atom) = 0.32



The following is a DFT calculation (GGA-PBE) of HoTh5C3 after structural relaxation.

```
18
Lattice="-5.3354 -0.2820 4.8735 -2.9317 -2.7157 -6.0272 6.8994 -6.5094 1.5656" Properties=species:S:1:pos:R:3 pbc="T T T"
Ho -2.0780 -7.2032 -0.4844
Ho 0.7103 -2.3039 0.8963
Th -1.5895 -2.4915 3.7255
Th -5.8637 -2.1262 -0.8183
Th -4.7188 -1.0743 2.5139
Th -3.4080 -4.1077 1.0029
Th 2.0403 -5.3995 -0.5910
Th 3.3511 -8.4329 -2.1020
Th -1.0928 -3.9640 -1.8232
Th -2.4035 -0.8715 -0.3354
Th 0.2218 -7.0157 -3.3136
Th -0.2749 -5.5431 2.2351
C 2.1015 -6.4646 1.7383
C 1.3208 -3.0896 -1.4366
C 0.0000 0.0000 0.0000
C 0.7820 -3.3957 3.2195
C -3.4692 -3.0426 -1.3264
C -2.6885 -6.4176 1.8485
```

Results
- energy relative to the elements (eV/atom) = -0.1639
- total magnetization (μB/cell) = 0.0
- D(E_F) (states/eV/atom) = 0.99



The following is a DFT calculation (GGA-PBE) of Li2PmZrSe4 after structural relaxation.

```
8
Lattice="-3.5852 -1.5663 -0.5624 2.6680 -4.4736 -4.5487 0.2287 -2.8004 6.3416" Properties=species:S:1:pos:R:3 pbc="T T T"
Li -1.6782 -2.1833 2.8896
Li 1.4484 -3.6370 0.8964
Pm 0.0000 0.0000 0.0000
Zr -0.4586 -3.0200 -2.5555
Se -1.0114 -2.7226 0.1403
Se 0.3229 -6.1177 1.0903
Se 0.8764 -3.2768 3.5396
Se 2.0203 -3.9972 -1.7467
```

Results
- E_form (uncorrected) (meV/atom) = -1468.7
- total magnetization (μB/cell) = 0.0
- D(E_F) (states/eV/atom) = 0.36



The following is a DFT calculation (GGA-PBE) of Ce5SbPb2 after structural relaxation.

```
16
Lattice="5.9876 0.0000 0.0000 -2.9938 5.7863 0.0000 0.0000 0.0000 13.5621" Properties=species:S:1:pos:R:3 pbc="T T T"
Ce 2.9938 4.9599 12.4986
Ce 2.9938 4.9599 7.8445
Ce 0.0000 4.6705 6.1042
Ce 0.0000 4.6705 0.6769
Ce 2.9938 0.4255 3.3905
Ce 0.0000 5.3608 10.1716
Ce 2.9938 1.1158 7.4579
Ce 2.9938 1.1158 12.8852
Ce 0.0000 0.8264 1.0635
Ce 0.0000 0.8264 5.7176
Sb 2.9938 2.9211 10.1716
Sb 0.0000 2.8652 3.3905
Pb 2.9938 3.3699 4.9854
Pb 2.9938 3.3699 1.7957
Pb 0.0000 2.4164 8.5767
Pb 0.0000 2.4164 11.7664
```

Results
- E_form (uncorrected) (meV/atom) = -212.9
- total magnetization (μB/cell) = 4.9
- D(E_F) (states/eV/atom) = 2.51



The following is a DFT calculation (GGA-PBE) of PuSiS3 after structural relaxation.

```
20
Lattice="6.4269 0.0000 0.0000 0.0000 7.5549 0.0000 0.0000 0.0000 8.5888" Properties=species:S:1:pos:R:3 pbc="T T T"
Pu 0.1887 0.8154 6.1863
Pu 3.0247 4.5929 6.1863
Pu 3.4022 2.9621 1.8919
Pu 6.2381 6.7395 1.8919
Si 3.0383 7.0187 8.5605
Si 3.3886 0.5363 4.2661
Si 0.1752 3.2412 8.5605
Si 6.2517 4.3137 4.2661
S 5.3130 1.2936 3.6487
S 5.3842 1.4532 0.2554
S 1.1138 6.2613 7.9431
S 1.0426 6.1018 4.5498
S 2.1708 2.3243 4.5498
S 3.9137 7.3205 6.3503
S 4.2561 5.2306 0.2554
S 5.7266 3.5430 6.3503
S 4.3273 5.0711 3.6487
S 2.0996 2.4839 7.9431
S 0.7003 4.0119 2.0559
S 2.5131 0.2345 2.0559
```

Results
- E_form (uncorrected) (meV/atom) = -921.1
- total magnetization (μB/cell) = 20.5
- D(E_F) (states/eV/atom) = 2.24